1.
Entry from Alexandria via LeMat-Bulk: crystalline PrSm4Y7 at its relaxed geometry (PBE).

As for the theoretical density: 5.65 Mg/m³. The calculation puts the energy relative to the elements at 7.8 kJ/mol of atoms. The total DFT energy (no corrections) is -5.661 eV per atom.

The space group is P-1 (No. 2) and the conventional cell measures 6.6052, 6.8930 and 9.1492 Å, with angles of 85.40, 76.96 and 81.89 degrees. The distinct sites, in fractional coordinates, are Pr at (0.0000, 0.0000, 0.0000), Sm at (0.1626, 0.6155, 0.3091), Sm at (0.3613, 0.1875, 0.7145), Y at (0.0000, 0.5000, 0.0000), Y at (0.1872, 0.1072, 0.3844), Y at (0.3217, 0.6926, 0.6392) and Y at (0.4867, 0.2507, 0.0490).

2.
Entry from Alexandria via LeMat-Bulk: crystalline Pr4Sm2Y5 at its relaxed geometry (PBE).

As for the theoretical density: 5.68 Mg/m³. The calculation puts the energy relative to the elements at 10.7 kJ/mol of atoms. The total DFT energy (no corrections) is -5.423 eV per atom.

The space group is C2/m (No. 12) and the conventional cell measures 24.5246, 3.5714 and 8.7604 Å, with angles of 90.00, 94.14 and 90.00 degrees. The distinct sites, in fractional coordinates, are Pr at (0.0412, 0.0000, 0.3420), Pr at (0.0895, 0.5000, 0.6981), Sm at (0.2252, 0.5000, 0.8274), Y at (0.0000, 0.5000, 0.0000), Y at (0.1317, 0.0000, 0.0509) and Y at (0.1870, 0.0000, 0.4719).

3.
Entry from Alexandria via LeMat-Bulk: crystalline PrSm2Y at its relaxed geometry (PBE).

As for the theoretical density: 6.40 Mg/m³. The calculation puts the energy relative to the elements at 14.4 kJ/mol of atoms. The total DFT energy (no corrections) is -5.021 eV per atom.

The space group is R-3m (No. 166, hexagonal axes) and the conventional cell measures 3.5464, 3.5464 and 37.9221 Å, with angles of 90.00, 90.00 and 120.00 degrees. The distinct sites, in fractional coordinates, are Pr at (0.0000, 0.0000, 0.0000), Sm at (0.0000, 0.0000, 0.0903) and Y at (0.0000, 0.0000, 0.5000).

4.
Entry from Alexandria via LeMat-Bulk: crystalline Pr7SmY3 at its relaxed geometry (PBE).

As for the theoretical density: 5.77 Mg/m³. The calculation puts the energy relative to the elements at 17.3 kJ/mol of atoms. The total DFT energy (no corrections) is -5.054 eV per atom.

The space group is P3m1 (No. 156) and the conventional cell measures 7.2855, 7.2855 and 8.7895 Å, with angles of 90.00, 90.00 and 120.00 degrees. The distinct sites, in fractional coordinates, are Pr at (0.0000, 0.0000, 0.0000), Pr at (0.0004, 0.5002, 0.0184), Pr at (0.3335, 0.1668, 0.6681), Sm at (0.3333, 0.6667, 0.6852) and Y at (0.1671, 0.3342, 0.3442).

5.
Entry from Alexandria via LeMat-Bulk: crystalline Pr3Sm6Y2 at its relaxed geometry (PBE).

As for the theoretical density: 6.64 Mg/m³. The calculation puts the energy relative to the elements at 1.2 kJ/mol of atoms. The total DFT energy (no corrections) is -5.040 eV per atom.

The space group is P-1 (No. 2) and the conventional cell measures 6.3011, 8.1306 and 8.1577 Å, with angles of 107.36, 104.83 and 97.40 degrees. The distinct sites, in fractional coordinates, are Pr at (0.0000, 0.0000, 0.0000), Pr at (0.3636, 0.2724, 0.4547), Sm at (0.1819, 0.6358, 0.7279), Sm at (0.2724, 0.4544, 0.0899), Sm at (0.4546, 0.0921, 0.8184) and Y at (0.0906, 0.8180, 0.3638).

6.
Entry from Alexandria via LeMat-Bulk: crystalline Pr7Sm4Y at its relaxed geometry (PBE).

As for the theoretical density: 6.47 Mg/m³. The calculation puts the energy relative to the elements at 20.1 kJ/mol of atoms. The total DFT energy (no corrections) is -4.692 eV per atom.

The space group is C2/m (No. 12) and the conventional cell measures 16.4393, 6.1217 and 9.5057 Å, with angles of 90.00, 115.92 and 90.00 degrees. The distinct sites, in fractional coordinates, are Pr at (0.0000, 0.0000, 0.0000), Pr at (0.0832, 0.5000, 0.4415), Pr at (0.2093, 0.5000, 0.8786), Pr at (0.2097, 0.5000, 0.2290), Sm at (0.0723, 0.0000, 0.6981), Sm at (0.1721, 0.0000, 0.3874) and Y at (0.0000, 0.5000, 0.0000).

7.
Entry from Alexandria via LeMat-Bulk: crystalline Pr6Sm2Y3 at its relaxed geometry (PBE).

As for the theoretical density: 5.83 Mg/m³. The calculation puts the energy relative to the elements at 27.4 kJ/mol of atoms. The total DFT energy (no corrections) is -4.944 eV per atom.

The space group is I4/mmm (No. 139) and the conventional cell measures 4.8599, 4.8599 and 34.0791 Å, with angles of 90.00, 90.00 and 90.00 degrees. The distinct sites, in fractional coordinates, are Pr at (0.0000, 0.0000, 0.1963), Pr at (0.0000, 0.5000, 0.1199), Sm at (0.0000, 0.0000, 0.0448), Y at (0.0000, 0.0000, 0.2986) and Y at (0.0000, 0.0000, 0.5000).

8.
Entry from Alexandria via LeMat-Bulk: crystalline Pr3SmY2 at its relaxed geometry (PBE).

As for the theoretical density: 5.21 Mg/m³. The calculation puts the energy relative to the elements at 54.2 kJ/mol of atoms. The total DFT energy (no corrections) is -4.769 eV per atom.

The space group is Ibam (No. 72) and the conventional cell measures 11.2658, 12.3023 and 6.9085 Å, with angles of 90.00, 90.00 and 90.00 degrees. The distinct sites, in fractional coordinates, are Pr at (0.0000, 0.0000, 0.2500), Pr at (0.0000, 0.2655, 0.2500), Sm at (0.0000, 0.5000, 0.0000) and Y at (0.2432, 0.1843, 0.0000).

9.
Entry from Alexandria via LeMat-Bulk: crystalline Pr5SmY5 at its relaxed geometry (PBE).

As for the theoretical density: 5.44 Mg/m³. The calculation puts the energy relative to the elements at 28.6 kJ/mol of atoms. The total DFT energy (no corrections) is -5.243 eV per atom.

The space group is P-6m2 (No. 187) and the conventional cell measures 6.1891, 6.1891 and 11.9563 Å, with angles of 90.00, 90.00 and 120.00 degrees. The distinct sites, in fractional coordinates, are Pr at (0.0000, 0.0000, 0.0000), Pr at (0.3333, 0.6667, 0.3157), Pr at (0.6667, 0.3333, 0.1529), Sm at (0.3333, 0.6667, 0.0000), Y at (0.0000, 0.0000, 0.2629) and Y at (0.3327, 0.1664, 0.5000).

10.
Entry from Alexandria via LeMat-Bulk: crystalline Pr3Sm6Y at its relaxed geometry (PBE).

As for the theoretical density: 6.77 Mg/m³. The calculation puts the energy relative to the elements at 13.6 kJ/mol of atoms. The total DFT energy (no corrections) is -4.771 eV per atom.

The space group is Cmc2_1 (No. 36) and the conventional cell measures 10.9897, 19.3210 and 6.5306 Å, with angles of 90.00, 90.00 and 90.00 degrees. The distinct sites, in fractional coordinates, are Pr at (0.0000, 0.1136, 0.0000), Pr at (0.1762, 0.3839, 0.6112), Sm at (0.0000, 0.2250, 0.4249), Sm at (0.0000, 0.4677, 0.2242), Sm at (0.1717, 0.0441, 0.5235), Sm at (0.2316, 0.2099, 0.7141) and Y at (0.0000, 0.3128, 0.9669).

11.
Entry from Alexandria via LeMat-Bulk: crystalline Pr2Sm3Y at its relaxed geometry (PBE).

As for the theoretical density: 6.54 Mg/m³. The calculation puts the energy relative to the elements at 6.0 kJ/mol of atoms. The total DFT energy (no corrections) is -4.968 eV per atom.

The space group is P2_1/m (No. 11) and the conventional cell measures 9.8486, 3.6039 and 11.7718 Å, with angles of 90.00, 93.22 and 90.00 degrees. The distinct sites, in fractional coordinates, are Pr at (0.0582, 0.2500, 0.3570), Pr at (0.4148, 0.7500, 0.8778), Sm at (0.0986, 0.2500, 0.8993), Sm at (0.2657, 0.2500, 0.6398), Sm at (0.4234, 0.2500, 0.3811) and Y at (0.2575, 0.7500, 0.1448).

12.
Entry from Alexandria via LeMat-Bulk: crystalline Pr2SmY at its relaxed geometry (PBE).

As for the theoretical density: 6.25 Mg/m³. The calculation puts the energy relative to the elements at 1.6 kJ/mol of atoms. The total DFT energy (no corrections) is -5.169 eV per atom.

The space group is P4/mmm (No. 123) and the conventional cell measures 3.6606, 3.6606 and 10.3369 Å, with angles of 90.00, 90.00 and 90.00 degrees. The distinct sites, in fractional coordinates, are Pr at (0.0000, 0.0000, 0.2487), Sm at (0.5000, 0.5000, 0.5000) and Y at (0.5000, 0.5000, 0.0000).